Here is an optimized crystal structure of AcPH2 from the Alexandria database. Energies are from PBE-GGA.

Computed properties:
Space-group type ... No. 225
DOS at the Fermi energy ... 0.96 states/eV per cell
Spin magnetization ... 0.000 μB per atom
Distance to the lowest polymorph of the same formula ... 1.02 eV/f.u.

POSCAR file:
```
AcPH2
1.0
-3.341 2.827 -0.161
-3.520 -0.624 2.530
-0.769 2.677 3.380
H Ac P
2 1 1
direct
0.750 0.750 0.750
0.250 0.250 0.250
0.000 0.000 0.000
0.500 0.500 0.500
```